[1]
YSc2Te | meta-GGA SCAN | PBEsol geometry

Geometry as CIF:
```
data_YSc2Te
_cell_length_a 3.754
_cell_length_b 4.604
_cell_length_c 6.020
_cell_angle_alpha 90.00
_cell_angle_beta 108.08
_cell_angle_gamma 90.00
_symmetry_space_group_name_H-M 'P 1 m 1'
_symmetry_Int_Tables_number 6
_symmetry_space_group_name_Hall 'P -2y'
loop_
_atom_site_label
_atom_site_fract_x
_atom_site_fract_y
_atom_site_fract_z
Y1 0.000 0.000 0.000
Sc1 0.269 0.000 0.536
Sc2 0.696 0.500 0.390
Te1 0.418 0.500 0.835
```

## Properties
E_tot: -23.9850 eV per atom

[2]
CrReTc | meta-GGA SCAN | PBEsol geometry

Geometry as CIF:
```
data_CrReTc
_cell_length_a 2.976
_cell_length_b 2.976
_cell_length_c 9.043
_cell_angle_alpha 90.00
_cell_angle_beta 90.00
_cell_angle_gamma 90.00
_symmetry_space_group_name_H-M 'I 4 m m'
_symmetry_Int_Tables_number 107
_symmetry_space_group_name_Hall 'I 4 -2'
loop_
_atom_site_label
_atom_site_fract_x
_atom_site_fract_y
_atom_site_fract_z
Cr1 0.000 0.000 0.000
Re1 0.000 0.000 0.655
Tc1 0.000 0.000 0.336
```

## Properties
E_form: 0.029 eV/atom
E_tot: -41.4850 eV per atom

[3]
LiV2O5 | meta-GGA SCAN | PBEsol geometry

Geometry as CIF:
```
data_LiV2O5
_cell_length_a 3.558
_cell_length_b 11.235
_cell_length_c 4.511
_cell_angle_alpha 90.00
_cell_angle_beta 90.00
_cell_angle_gamma 90.00
_symmetry_space_group_name_H-M 'P m m n'
_symmetry_Int_Tables_number 59
loop_
_symmetry_equiv_pos_as_xyz
'x,y,z'
'-x,-y,-z'
'-x+1/2,-y+1/2,z'
'x+1/2,y+1/2,-z'
'x+1/2,-y,-z'
'-x+1/2,y,z'
'-x,y+1/2,-z'
'x,-y+1/2,z'
loop_
_atom_site_label
_atom_site_fract_x
_atom_site_fract_y
_atom_site_fract_z
Li1 0.250 0.250 0.230
V1 0.250 0.598 0.383
O1 0.250 0.075 0.489
O2 0.250 0.615 0.028
O3 0.250 0.750 0.514
```

## Properties
E_tot: -11.0972 eV per atom
distance to the lowest polymorph of the same formula: 10.1 meV per atom

[4]
Tc3OsAu | meta-GGA SCAN | PBEsol geometry

Geometry as CIF:
```
data_Tc3OsAu
_cell_length_a 4.608
_cell_length_b 4.608
_cell_length_c 4.608
_cell_angle_alpha 90.00
_cell_angle_beta 90.00
_cell_angle_gamma 90.00
_symmetry_space_group_name_H-M 'P m -3 m'
_symmetry_Int_Tables_number 221
_symmetry_space_group_name_Hall '-P 4 2 3'
loop_
_atom_site_label
_atom_site_fract_x
_atom_site_fract_y
_atom_site_fract_z
Tc1 0.000 0.000 0.500
Os1 0.000 0.000 0.000
Au1 0.500 0.500 0.500
```

## Properties
E_form: 1.722 eV/atom
E_tot: -47.5217 eV per atom

[5]
CdBrCl3 | meta-GGA SCAN | PBEsol geometry

Geometry as CIF:
```
data_CdBrCl3
_cell_length_a 5.150
_cell_length_b 5.150
_cell_length_c 5.150
_cell_angle_alpha 90.00
_cell_angle_beta 90.00
_cell_angle_gamma 90.00
_symmetry_space_group_name_H-M 'P m -3 m'
_symmetry_Int_Tables_number 221
_symmetry_space_group_name_Hall '-P 4 2 3'
loop_
_atom_site_label
_atom_site_fract_x
_atom_site_fract_y
_atom_site_fract_z
Cd1 0.000 0.000 0.000
Br1 0.500 0.500 0.500
Cl1 0.000 0.500 0.500
```

## Properties
E_tot: -14.6013 eV per atom

[6]
ZrAl2Co | meta-GGA SCAN | PBEsol geometry

Geometry as CIF:
```
data_ZrAl2Co
_cell_length_a 2.916
_cell_length_b 2.916
_cell_length_c 6.981
_cell_angle_alpha 90.00
_cell_angle_beta 90.00
_cell_angle_gamma 90.00
_symmetry_space_group_name_H-M 'P 4/m m m'
_symmetry_Int_Tables_number 123
_symmetry_space_group_name_Hall '-P 4 2'
loop_
_atom_site_label
_atom_site_fract_x
_atom_site_fract_y
_atom_site_fract_z
Zr1 0.000 0.000 0.000
Al1 0.500 0.500 0.304
Co1 0.000 0.000 0.500
```

## Properties
E_form: -0.529 eV/atom
E_tot: -16.4058 eV per atom